Compound: AlReAu2
Source: Alexandria via LeMat-Bulk
Functional: PBE-GGA
Structure: optimized geometry

The structure in CIF format:
```
data_AlReAu2
_chemical_formula_sum 'Al1 Re1 Au2'
_space_group_name_H-M_alt 'P 4 m m'
_space_group_IT_number 99
_cell_length_a 2.806
_cell_length_b 2.806
_cell_length_c 8.257
_cell_angle_alpha 90.00
_cell_angle_beta 90.00
_cell_angle_gamma 90.00
loop_
_space_group_symop_operation_xyz
'x,y,z'
'-y,x,z'
'-x,-y,z'
'y,-x,z'
'-x,y,z'
'y,x,z'
'x,-y,z'
'-y,-x,z'
loop_
_atom_site_label
_atom_site_type_symbol
_atom_site_fract_x
_atom_site_fract_y
_atom_site_fract_z
Al1 Al 0.000 0.000 0.000
Re1 Re 0.500 0.500 0.778
Au1 Au 0.000 0.000 0.526
Au2 Au 0.500 0.500 0.237
```

---

Compound: AlRe2Au
Source: Alexandria via LeMat-Bulk
Functional: PBE-GGA
Structure: optimized geometry

The structure in CIF format:
```
data_AlRe2Au
_chemical_formula_sum 'Al1 Re2 Au1'
_space_group_name_H-M_alt 'P 4/m m m'
_space_group_IT_number 123
_space_group_name_Hall '-P 4 2'
_cell_length_a 2.991
_cell_length_b 2.991
_cell_length_c 6.820
_cell_angle_alpha 90.00
_cell_angle_beta 90.00
_cell_angle_gamma 90.00
loop_
_atom_site_label
_atom_site_type_symbol
_atom_site_fract_x
_atom_site_fract_y
_atom_site_fract_z
Al1 Al 0.000 0.000 0.000
Re1 Re 0.500 0.500 0.224
Au1 Au 0.000 0.000 0.500
```

---

Compound: AlRe2Au
Source: Alexandria via LeMat-Bulk
Functional: PBE-GGA
Structure: optimized geometry

The structure in CIF format:
```
data_AlRe2Au
_chemical_formula_sum 'Al1 Re2 Au1'
_space_group_name_H-M_alt 'P 4 m m'
_space_group_IT_number 99
_cell_length_a 2.959
_cell_length_b 2.959
_cell_length_c 7.130
_cell_angle_alpha 90.00
_cell_angle_beta 90.00
_cell_angle_gamma 90.00
loop_
_space_group_symop_operation_xyz
'x,y,z'
'-y,x,z'
'-x,-y,z'
'y,-x,z'
'-x,y,z'
'y,x,z'
'x,-y,z'
'-y,-x,z'
loop_
_atom_site_label
_atom_site_type_symbol
_atom_site_fract_x
_atom_site_fract_y
_atom_site_fract_z
Al1 Al 0.000 0.000 0.000
Re1 Re 0.000 0.000 0.543
Re2 Re 0.500 0.500 0.762
Au1 Au 0.500 0.500 0.244
```

---

Compound: Al2ReAu
Source: Alexandria via LeMat-Bulk
Functional: PBE-GGA
Structure: optimized geometry

The structure in CIF format:
```
data_Al2ReAu
_chemical_formula_sum 'Al2 Re1 Au1'
_space_group_name_H-M_alt 'P 4/m m m'
_space_group_IT_number 123
_space_group_name_Hall '-P 4 2'
_cell_length_a 4.250
_cell_length_b 4.250
_cell_length_c 3.304
_cell_angle_alpha 90.00
_cell_angle_beta 90.00
_cell_angle_gamma 90.00
loop_
_atom_site_label
_atom_site_type_symbol
_atom_site_fract_x
_atom_site_fract_y
_atom_site_fract_z
Al1 Al 0.000 0.500 0.000
Re1 Re 0.000 0.000 0.500
Au1 Au 0.500 0.500 0.500
```

Properties
- ΔE to the lowest computed polymorph (eV/atom) = 0.013

---

Compound: AlRe2Au
Source: Alexandria via LeMat-Bulk
Functional: PBE-GGA
Structure: optimized geometry

The structure in CIF format:
```
data_AlRe2Au
_chemical_formula_sum 'Al1 Re2 Au1'
_space_group_name_H-M_alt 'P -1'
_space_group_IT_number 2
_cell_length_a 2.866
_cell_length_b 4.736
_cell_length_c 4.916
_cell_angle_alpha 101.25
_cell_angle_beta 106.63
_cell_angle_gamma 92.14
loop_
_space_group_symop_operation_xyz
'x,y,z'
'-x,-y,-z'
loop_
_atom_site_label
_atom_site_type_symbol
_atom_site_fract_x
_atom_site_fract_y
_atom_site_fract_z
Al1 Al 0.000 0.000 0.000
Re1 Re 0.295 0.762 0.510
Au1 Au 0.500 0.500 0.000
```

---

Compound: Al2ReAu
Source: Alexandria via LeMat-Bulk
Functional: PBE-GGA
Structure: optimized geometry

The structure in CIF format:
```
data_Al2ReAu
_chemical_formula_sum 'Al4 Re2 Au2'
_space_group_name_H-M_alt 'C m m m'
_space_group_IT_number 65
_space_group_name_Hall '-C 2 2'
_cell_length_a 3.113
_cell_length_b 4.772
_cell_length_c 8.493
_cell_angle_alpha 90.00
_cell_angle_beta 90.00
_cell_angle_gamma 90.00
loop_
_atom_site_label
_atom_site_type_symbol
_atom_site_fract_x
_atom_site_fract_y
_atom_site_fract_z
Al1 Al 0.000 0.000 0.237
Re1 Re 0.000 0.500 0.000
Au1 Au 0.000 0.500 0.500
```

Properties
- ΔE to the lowest computed polymorph (eV/atom) = 0.187

---

| no. | DFT formation energy (meV/atom) |
| --- | --- |
| 1 | 78 |
| 2 | 361 |
| 3 | -52 |
| 4 | -243 |
| 5 | 193 |
| 6 | -70 |